# 1
# Tm2AgHg4 PBE optimized geometry
data_Tm2AgHg4
_chemical_formula_sum 'Tm6 Ag3 Hg12'
_symmetry_space_group_name_H-M 'R -3 m'
_symmetry_Int_Tables_number 166
_symmetry_space_group_name_Hall '-R 3 2"'
_cell_length_a 5.1576
_cell_length_b 5.1576
_cell_length_c 21.6312
_cell_angle_alpha 90.00
_cell_angle_beta 90.00
_cell_angle_gamma 120.00
loop_
_atom_site_label
_atom_site_type_symbol
_atom_site_fract_x
_atom_site_fract_y
_atom_site_fract_z
Tm1 Tm 0.0000 0.0000 0.2256
Ag1 Ag 0.0000 0.0000 0.5000
Hg1 Hg 0.0000 0.0000 0.0837
Hg2 Hg 0.0000 0.0000 0.3670
# - D(E_F): 3.27 states/eV/f.u.
# - DFT formation energy: -259.5 meV/atom
# - Crystal system: trigonal
# - Excess energy over the best structure of this formula in the dataset: 0 meV/atom
# - M_tot: 0.0 μB/cell

***

# 2
# TmAgHg2 PBE optimized geometry
data_TmAgHg2
_chemical_formula_sum 'Tm1 Ag1 Hg2'
_symmetry_space_group_name_H-M 'P 4/m m m'
_symmetry_Int_Tables_number 123
_symmetry_space_group_name_Hall '-P 4 2'
_cell_length_a 4.530
_cell_length_b 4.530
_cell_length_c 4.443
_cell_angle_alpha 90.00
_cell_angle_beta 90.00
_cell_angle_gamma 90.00
loop_
_atom_site_label
_atom_site_type_symbol
_atom_site_fract_x
_atom_site_fract_y
_atom_site_fract_z
Tm1 Tm 0.000 0.000 0.000
Ag1 Ag 0.500 0.500 0.000
Hg1 Hg 0.000 0.500 0.500
# - D(E_F): 2.74 states/eV/f.u.
# - DFT formation energy: -231.5 meV/atom
# - Crystal system: tetragonal
# - M_tot: 0.0 μB/cell

***

# 3
# Tm4AgHg3 PBE optimized geometry
data_Tm4AgHg3
_chemical_formula_sum 'Tm4 Ag1 Hg3'
_symmetry_space_group_name_H-M 'P 4/m m m'
_symmetry_Int_Tables_number 123
_symmetry_space_group_name_Hall '-P 4 2'
_cell_length_a 3.654
_cell_length_b 3.654
_cell_length_c 14.590
_cell_angle_alpha 90.00
_cell_angle_beta 90.00
_cell_angle_gamma 90.00
loop_
_atom_site_label
_atom_site_type_symbol
_atom_site_fract_x
_atom_site_fract_y
_atom_site_fract_z
Tm1 Tm 0.000 0.000 0.120
Tm2 Tm 0.000 0.000 0.373
Ag1 Ag 0.500 0.500 0.000
Hg1 Hg 0.500 0.500 0.247
Hg2 Hg 0.500 0.500 0.500
# - D(E_F): 4.31 states/eV/f.u.
# - DFT formation energy: -445.8 meV/atom
# - Crystal system: tetragonal
# - M_tot: 0.0 μB/cell

***

# 4
# TmAgHg4 PBE optimized geometry
data_TmAgHg4
_chemical_formula_sum 'Tm2 Ag2 Hg8'
_symmetry_space_group_name_H-M 'C 1 2/m 1'
_symmetry_Int_Tables_number 12
_symmetry_space_group_name_Hall '-C 2y'
_cell_length_a 9.454
_cell_length_b 3.509
_cell_length_c 9.916
_cell_angle_alpha 90.00
_cell_angle_beta 117.35
_cell_angle_gamma 90.00
loop_
_atom_site_label
_atom_site_type_symbol
_atom_site_fract_x
_atom_site_fract_y
_atom_site_fract_z
Tm1 Tm 0.000 0.000 0.000
Ag1 Ag 0.000 0.500 0.500
Hg1 Hg 0.149 0.000 0.353
Hg2 Hg 0.201 0.000 0.820
# - D(E_F): 2.77 states/eV/f.u.
# - DFT formation energy: -74.2 meV/atom
# - Crystal system: monoclinic
# - Excess energy over the best structure of this formula in the dataset: 0 meV/atom
# - M_tot: 0.0 μB/cell

***

# 5
# Tm8AgHg2 PBE optimized geometry
data_Tm8AgHg2
_chemical_formula_sum 'Tm16 Ag2 Hg4'
_symmetry_space_group_name_H-M 'C 1 2/m 1'
_symmetry_Int_Tables_number 12
_symmetry_space_group_name_Hall '-C 2y'
_cell_length_a 17.740
_cell_length_b 5.117
_cell_length_c 6.865
_cell_angle_alpha 90.00
_cell_angle_beta 105.20
_cell_angle_gamma 90.00
loop_
_atom_site_label
_atom_site_type_symbol
_atom_site_fract_x
_atom_site_fract_y
_atom_site_fract_z
Tm1 Tm 0.025 0.000 0.269
Tm2 Tm 0.091 0.500 0.954
Tm3 Tm 0.162 0.500 0.466
Tm4 Tm 0.198 0.000 0.809
Ag1 Ag 0.000 0.500 0.500
Hg1 Hg 0.189 0.000 0.226
# - D(E_F): 9.14 states/eV/f.u.
# - DFT formation energy: -197.6 meV/atom
# - Crystal system: monoclinic
# - M_tot: 0.0 μB/cell

***

# 6
# TmAg2Hg PBE optimized geometry
data_TmAg2Hg
_chemical_formula_sum 'Tm1 Ag2 Hg1'
_symmetry_space_group_name_H-M 'P 4/m m m'
_symmetry_Int_Tables_number 123
_symmetry_space_group_name_Hall '-P 4 2'
_cell_length_a 3.667
_cell_length_b 3.667
_cell_length_c 6.463
_cell_angle_alpha 90.00
_cell_angle_beta 90.00
_cell_angle_gamma 90.00
loop_
_atom_site_label
_atom_site_type_symbol
_atom_site_fract_x
_atom_site_fract_y
_atom_site_fract_z
Tm1 Tm 0.000 0.000 0.000
Ag1 Ag 0.500 0.500 0.251
Hg1 Hg 0.000 0.000 0.500
# - D(E_F): 1.95 states/eV/f.u.
# - DFT formation energy: -182.8 meV/atom
# - Crystal system: tetragonal
# - M_tot: 0.0 μB/cell

***

# 7
# Tm3AgHg5 PBE optimized geometry
data_Tm3AgHg5
_chemical_formula_sum 'Tm6 Ag2 Hg10'
_symmetry_space_group_name_H-M 'P 63/m c m'
_symmetry_Int_Tables_number 193
_symmetry_space_group_name_Hall '-P 6c 2'
_cell_length_a 8.8719
_cell_length_b 8.8719
_cell_length_c 6.1669
_cell_angle_alpha 90.00
_cell_angle_beta 90.00
_cell_angle_gamma 120.00
loop_
_atom_site_label
_atom_site_type_symbol
_atom_site_fract_x
_atom_site_fract_y
_atom_site_fract_z
Tm1 Tm 0.0000 0.3488 0.2500
Ag1 Ag 0.0000 0.0000 0.0000
Hg1 Hg 0.0000 0.3125 0.7500
Hg2 Hg 0.3333 0.6667 0.0000
# - D(E_F): 5.66 states/eV/f.u.
# - DFT formation energy: -352.1 meV/atom
# - Crystal system: hexagonal
# - M_tot: 0.0 μB/cell

***

# 8
# TmAg2Hg PBE optimized geometry
data_TmAg2Hg
_chemical_formula_sum 'Tm2 Ag4 Hg2'
_symmetry_space_group_name_H-M 'C 1 m 1'
_symmetry_Int_Tables_number 8
_symmetry_space_group_name_Hall 'C -2y'
_cell_length_a 9.350
_cell_length_b 4.529
_cell_length_c 4.528
_cell_angle_alpha 90.00
_cell_angle_beta 118.76
_cell_angle_gamma 90.00
loop_
_atom_site_label
_atom_site_type_symbol
_atom_site_fract_x
_atom_site_fract_y
_atom_site_fract_z
Tm1 Tm 0.000 0.000 0.000
Ag1 Ag 0.000 0.500 0.500
Ag2 Ag 0.250 0.000 0.749
Hg1 Hg 0.250 0.500 0.252
# - D(E_F): 1.85 states/eV/f.u.
# - DFT formation energy: -263.0 meV/atom
# - Crystal system: monoclinic
# - M_tot: 0.0 μB/cell

***

What did the fourth record say?
# TmAgHg4 PBE optimized geometry
data_TmAgHg4
_chemical_formula_sum 'Tm2 Ag2 Hg8'
_symmetry_space_group_name_H-M 'C 1 2/m 1'
_symmetry_Int_Tables_number 12
_symmetry_space_group_name_Hall '-C 2y'
_cell_length_a 9.454
_cell_length_b 3.509
_cell_length_c 9.916
_cell_angle_alpha 90.00
_cell_angle_beta 117.35
_cell_angle_gamma 90.00
loop_
_atom_site_label
_atom_site_type_symbol
_atom_site_fract_x
_atom_site_fract_y
_atom_site_fract_z
Tm1 Tm 0.000 0.000 0.000
Ag1 Ag 0.000 0.500 0.500
Hg1 Hg 0.149 0.000 0.353
Hg2 Hg 0.201 0.000 0.820
# - D(E_F): 2.77 states/eV/f.u.
# - DFT formation energy: -74.2 meV/atom
# - Crystal system: monoclinic
# - Excess energy over the best structure of this formula in the dataset: 0 meV/atom
# - M_tot: 0.0 μB/cell